Computed, not measured: HgPPt2 after structural relaxation at the GGA-PBE level of DFT.

Results
Calculated formation energy, eV/atom: 0.212

a = 4.787 Å, b = 4.787 Å, c = 2.950 Å
α = 90.00°, β = 90.00°, γ = 90.00°
Space group P4/mmm (No. 123)
Asymmetric unit:
1 Hg 0.000 0.000 0.000 (multiplicity 1)
2 P 0.500 0.500 0.000 (multiplicity 1)
3 Pt 0.000 0.500 0.500 (multiplicity 2)


Computed, not measured: TbY2GaN after structural relaxation at the GGA-PBE level of DFT.

Results
Uncorrected formation energy, eV/atom: -0.9788

a = 4.761 Å, b = 4.761 Å, c = 4.784 Å
α = 90.00°, β = 90.00°, γ = 90.00°
Space group P4/mmm (No. 123)
Asymmetric unit:
1 Tb 0.000 0.000 0.000 (multiplicity 1)
2 Y 0.000 0.500 0.500 (multiplicity 2)
3 Ga 0.500 0.500 0.000 (multiplicity 1)
4 N 0.000 0.000 0.500 (multiplicity 1)